A plane-wave DFT calculation with PBE+U was carried out for an optimized crystal structure of Co3OsO.

Structure (POSCAR):
```
Co3OsO
1.0
3.883 0.000 0.000
0.000 3.883 0.000
0.000 0.000 3.883
Co Os O
3 1 1
direct
0.000 0.500 0.000 Co
0.000 0.000 0.500 Co
0.500 0.000 0.000 Co
0.500 0.500 0.500 Os
0.000 0.000 0.000 O
```

Electronic total energy, eV for the cell shown: -29.1
E above lowest polymorph, meV/atom: 0.0
Space-group type: No. 221